Crystalline CaTc2Cl at its relaxed geometry. Source: Alexandria via LeMat-Bulk, functional PBEsol.

Geometry as extended XYZ:
```
4
Lattice="3.554 0.000 0.000 1.777 4.841 -0.071 1.777 1.782 4.502" Properties=species:S:1:pos:R:3 pbc="T T T"
Tc 1.777 1.266 0.847
Tc 3.554 0.049 0.033
Ca 3.554 3.440 2.302
Cl 5.332 5.180 3.466
```

Results
- Excess energy over the best structure of this formula in the dataset: 546.9 meV per atom
- Symmetry: Imm2 (44)
- Uncorrected formation energy: 0.356 eV/atom



Crystalline CaTc2Cl at its relaxed geometry. Source: Alexandria via LeMat-Bulk, functional PBEsol.

Geometry as extended XYZ:
```
4
Lattice="3.682 0.000 0.000 0.000 3.682 0.000 0.000 0.000 5.422" Properties=species:S:1:pos:R:3 pbc="T T T"
Ca 1.841 1.841 0.000
Tc 0.000 0.000 1.655
Tc 0.000 0.000 3.767
Cl 1.841 1.841 2.711
```

Results
- Excess energy over the best structure of this formula in the dataset: 1087.4 meV per atom
- Symmetry: P4/mmm (123)
- Uncorrected formation energy: 0.896 eV/atom



| no. | DOS(E_F) (states/eV/f.u.) |
| --- | --- |
| 1 | 3.2 |
| 2 | 3.5 |